Here is an optimized crystal structure of LiNd2YIn4 from the Alexandria database. Energies are from PBE.

Summary:
- magnetic moment (Bohr magnetons per cell) = 0.00
- E (hartree per atom) = -0.14876

POSCAR file:
```
LiNd2YIn4
1.0
2.646 1.528 8.869
-2.646 1.528 8.869
0.000 -3.055 8.869
Li Nd Y In
1 2 1 4
Cartesian
0.000 0.000 0.000
0.000 0.000 6.797
0.000 0.000 19.810
0.000 0.000 13.304
0.000 0.000 3.318
0.000 0.000 9.975
0.000 0.000 16.632
0.000 0.000 23.289
```